Entry from the Alexandria database: a relaxed VSO4F3 crystal (GGA+U).

Output
Crystal system: orthorhombic
DFT total energy: -209.76 eV per cell
Symmetry: Pbcn (60)

Cell: 7.2133 7.5206 10.8110 Å, 90.00 90.00 90.00°
Sites, in units of the cell vectors:
S1 0.2500 0.1497 0.5000
S2 0.2500 0.6497 0.0000
S3 0.7500 0.8503 0.5000
S4 0.7500 0.3503 0.0000
F1 0.0332 0.4354 0.3444
F2 0.0332 0.9354 0.1556
F3 0.2500 0.6027 0.5000
F4 0.2500 0.1027 0.0000
F5 0.4668 0.9354 0.8444
F6 0.4668 0.4354 0.6556
F7 0.5332 0.0646 0.1556
F8 0.5332 0.5646 0.3444
F9 0.7500 0.3973 0.5000
F10 0.7500 0.8973 0.0000
F11 0.9668 0.0646 0.8444
F12 0.9668 0.5646 0.6556
O1 0.1035 0.2872 0.5542
O2 0.1035 0.7872 0.9458
O3 0.1690 0.0571 0.3981
O4 0.1690 0.5571 0.1019
O5 0.3310 0.0571 0.6019
O6 0.3310 0.5571 0.8981
O7 0.3965 0.7872 0.0542
O8 0.3965 0.2872 0.4458
O9 0.6035 0.2128 0.9458
O10 0.6035 0.7128 0.5542
O11 0.6690 0.4429 0.1019
O12 0.6690 0.9429 0.3981
O13 0.8310 0.4429 0.8981
O14 0.8310 0.9429 0.6019
O15 0.8965 0.7128 0.4458
O16 0.8965 0.2128 0.0542
V1 0.0000 0.0000 0.0000
V2 0.0000 0.5000 0.5000
V3 0.5000 0.0000 0.0000
V4 0.5000 0.5000 0.5000